(1)
Here is a relaxed structure of LiAgAu2 from the Alexandria database. Energies are from PBE.

abc: 4.605 4.605 4.605
angles: 60.00 60.00 60.00
Fractional positions:
Li 0.750 0.750 0.750
Au 0.000 0.000 0.000
Au 0.250 0.250 0.250
Ag 0.500 0.500 0.500

SG: F-43m
crystal system: cubic
calculated formation energy: -256.2 meV per atom
relative energy among the computed polymorphs: 21 kJ/mol of formula units

***

(2)
Here is a relaxed structure of LiTmLu2 from the Alexandria database. Energies are from PBE.

abc: 3.783 5.381 5.381
angles: 90.00 90.00 90.00
Fractional positions:
Tm 0.500 0.500 0.500
Li 0.500 0.000 0.000
Lu 0.000 0.000 0.500
Lu 0.000 0.500 0.000

SG: P4/mmm
crystal system: tetragonal
calculated formation energy: 173.0 meV per atom
relative energy among the computed polymorphs: 35 kJ/mol of formula units

***

(3)
Here is a relaxed structure of Sc2AsBr2 from the Alexandria database. Energies are from PBE.

abc: 3.855 3.855 10.430
angles: 79.35 79.35 60.00
Fractional positions:
Br 0.771 0.771 0.686
Br 0.229 0.229 0.314
Sc 0.618 0.618 0.146
Sc 0.382 0.382 0.854
As 0.000 0.000 0.000

SG: R-3m
crystal system: trigonal
uncorrected formation energy: -1.5665 eV per atom

***

(4)
Here is a relaxed structure of Pm2YTaN4 from the Alexandria database. Energies are from PBE.

abc: 3.394 5.903 5.989
angles: 108.79 90.00 90.00
Fractional positions:
N 0.000 0.234 0.780
N 0.000 0.766 0.220
N 0.500 0.780 0.786
N 0.500 0.220 0.214
Pm 0.000 0.500 0.500
Pm 0.500 0.000 0.500
Y 0.500 0.500 0.000
Ta 0.000 0.000 0.000

SG: P2/m
crystal system: monoclinic
uncorrected formation energy: -1.4026 eV per atom

***

(5)
Here is a relaxed structure of Ho5Tl2Sb from the Alexandria database. Energies are from PBE.

abc: 8.345 8.345 8.766
angles: 118.42 118.42 90.00
Fractional positions:
Ho 0.501 0.695 0.696
Ho 0.001 0.501 0.696
Ho 0.999 0.499 0.304
Ho 0.500 0.500 0.000
Ho 0.695 0.195 0.696
Ho 0.499 0.305 0.304
Ho 0.805 0.999 0.304
Ho 0.000 0.000 0.000
Ho 0.195 0.001 0.696
Ho 0.305 0.805 0.304
Sb 0.750 0.750 0.500
Sb 0.250 0.250 0.500
Tl 0.647 0.147 0.000
Tl 0.147 0.353 0.000
Tl 0.853 0.647 0.000
Tl 0.353 0.853 0.000

SG: I4/mcm
crystal system: tetragonal
uncorrected formation energy: -0.4571 eV per atom
relative energy among the computed polymorphs: 0 kJ/mol of formula units

***

(6)
Here is a relaxed structure of Sr2Cu6As3 from the Alexandria database. Energies are from PBE.

abc: 4.180 7.664 7.664
angles: 120.00 90.00 90.00
Fractional positions:
Cu 0.500 0.000 0.219
Cu 0.000 0.191 0.191
Cu 0.000 0.000 0.809
Cu 0.000 0.809 0.000
Cu 0.500 0.219 0.000
Cu 0.500 0.781 0.781
Sr 0.000 0.333 0.667
Sr 0.000 0.667 0.333
As 0.500 0.000 0.638
As 0.500 0.638 0.000
As 0.500 0.362 0.362

SG: P-62m
crystal system: hexagonal
calculated formation energy: -393.5 meV per atom

***

(7)
Here is a relaxed structure of K2PrTi2O7 from the Alexandria database. Energies are from PBE.

abc: 3.917 3.917 11.250
angles: 79.97 79.97 90.00
Site moments in Bohr magnetons follow the coordinates.
Fractional positions:
Ti 0.402 0.402 0.196  -0.03
Ti 0.598 0.598 0.804  -0.03
Pr 0.000 0.000 0.000  -0.01
O 0.419 0.919 0.162  0.10
O 0.500 0.500 0.000  0.32
O 0.581 0.081 0.838  0.10
O 0.680 0.680 0.641  0.06
O 0.320 0.320 0.359  0.06
O 0.919 0.419 0.162  0.10
O 0.081 0.581 0.838  0.10
K 0.809 0.809 0.382  0.00
K 0.191 0.191 0.618  0.00

SG: I4/mmm
crystal system: tetragonal
uncorrected formation energy: -2.6657 eV per atom

***

(8)
Here is a relaxed structure of Th2Al4Ni3Ir from the Alexandria database. Energies are from PBE.

abc: 4.175 4.175 10.070
angles: 90.00 90.00 90.00
Fractional positions:
Th 0.000 0.500 0.748
Th 0.500 0.000 0.252
Al 0.000 0.000 0.000
Al 0.500 0.500 0.000
Al 0.000 0.500 0.370
Al 0.500 0.000 0.630
Ir 0.500 0.500 0.500
Ni 0.000 0.000 0.500
Ni 0.500 0.000 0.869
Ni 0.000 0.500 0.131

SG: P-4m2
crystal system: tetragonal
calculated formation energy: -670.6 meV per atom

***

(9)
Here is a relaxed structure of Sr3Mg3Zn8 from the Alexandria database. Energies are from PBE.

abc: 4.656 8.863 8.863
angles: 64.89 74.77 74.77
Fractional positions:
Zn 0.357 0.367 0.918
Zn 0.643 0.633 0.082
Zn 0.643 0.082 0.633
Zn 0.832 0.526 0.810
Zn 0.168 0.474 0.190
Zn 0.832 0.810 0.526
Zn 0.357 0.918 0.367
Zn 0.168 0.190 0.474
Mg 0.000 0.206 0.794
Mg 0.000 0.794 0.206
Mg 0.500 0.000 0.000
Sr 0.500 0.500 0.500
Sr 0.205 0.795 0.795
Sr 0.795 0.205 0.205

SG: Immm
crystal system: orthorhombic
calculated formation energy: -201.1 meV per atom

***

(10)
Here is a relaxed structure of ScTcRu2F from the Alexandria database. Energies are from PBE.

abc: 4.351 4.009 4.351
angles: 90.00 90.00 90.00
Fractional positions:
Ru 0.500 0.000 0.000
Ru 0.000 0.000 0.500
F 0.000 0.000 0.000
Sc 0.500 0.500 0.500
Tc 0.000 0.500 0.000

SG: P4/mmm
crystal system: tetragonal
uncorrected formation energy: 0.4631 eV per atom

***

(11)
Here is a relaxed structure of NdZn8Pt4 from the Alexandria database. Energies are from PBE.

abc: 5.500 6.830 6.830
angles: 80.67 66.26 66.26
Fractional positions:
Zn 0.500 0.218 0.782
Zn 0.651 0.349 0.349
Zn 0.000 0.349 0.651
Zn 0.500 0.782 0.218
Zn 0.349 0.651 0.651
Zn 0.282 0.218 0.218
Zn 0.000 0.651 0.349
Zn 0.718 0.782 0.782
Pt 0.500 0.000 0.500
Pt 0.500 0.500 0.000
Pt 0.000 0.000 0.500
Pt 0.000 0.500 0.000
Nd 0.000 0.000 0.000

SG: I4/mmm
crystal system: tetragonal
calculated formation energy: -524.9 meV per atom

***

(12)
Here is a relaxed structure of Ca2Bi2Sb from the Alexandria database. Energies are from PBE.

abc: 6.265 6.265 6.385
angles: 60.62 60.62 90.00
Fractional positions:
Ca 0.750 0.250 0.500
Ca 0.250 0.750 0.500
Sb 0.000 0.000 0.000
Bi 0.669 0.669 0.662
Bi 0.331 0.331 0.338

SG: I4/mmm
crystal system: tetragonal
uncorrected formation energy: -0.3404 eV per atom
relative energy among the computed polymorphs: 99 kJ/mol of formula units

***

(13)
Here is a relaxed structure of InAsPt2 from the Alexandria database. Energies are from PBE.

abc: 4.381 4.381 8.872
angles: 75.71 75.71 90.00
Fractional positions:
As 0.500 0.500 0.000
As 0.250 0.750 0.500
Pt 0.580 0.125 0.250
Pt 0.375 0.420 0.750
Pt 0.875 0.830 0.750
Pt 0.170 0.625 0.250
In 0.750 0.250 0.500
In 0.000 0.000 0.000

SG: I-42d
crystal system: tetragonal
calculated formation energy: -205.0 meV per atom

***

(14)
Here is a relaxed structure of Tb2HfPa from the Alexandria database. Energies are from PBE.

abc: 3.263 3.263 11.879
angles: 82.11 82.11 60.00
Fractional positions:
Tb 0.909 0.909 0.272
Tb 0.091 0.091 0.728
Hf 0.500 0.500 0.500
Pa 0.000 0.000 0.000

SG: R-3m
crystal system: trigonal
calculated formation energy: 285.0 meV per atom

***

(15)
Here is a relaxed structure of Cs5MgTl4 from the Alexandria database. Energies are from PBE.

abc: 5.188 9.928 12.489
angles: 110.52 101.99 90.00
Fractional positions:
Cs 0.800 0.202 0.601
Cs 0.138 0.283 0.276
Cs 0.500 0.500 0.000
Cs 0.862 0.717 0.724
Cs 0.200 0.798 0.399
Tl 0.384 0.054 0.767
Tl 0.616 0.946 0.233
Tl 0.035 0.868 0.069
Tl 0.965 0.132 0.931
Mg 0.500 0.000 0.000

SG: C2/m
crystal system: monoclinic
calculated formation energy: -49.3 meV per atom

***

(16)
Here is a relaxed structure of NaGdNi4 from the Alexandria database. Energies are from PBE.

abc: 5.006 5.006 5.006
angles: 60.00 60.00 60.00
Site moments in Bohr magnetons follow the coordinates.
Fractional positions:
Ni 0.625 0.625 0.625  -0.01
Ni 0.625 0.625 0.125  -0.01
Ni 0.625 0.125 0.625  -0.01
Ni 0.125 0.625 0.625  -0.01
Na 0.000 0.000 0.000  0.01
Gd 0.250 0.250 0.250  7.02

SG: F-43m
crystal system: cubic
calculated formation energy: -158.0 meV per atom

***

(17)
Here is a relaxed structure of La2Tb3Er8 from the Alexandria database. Energies are from PBE.

abc: 5.475 7.619 11.202
angles: 109.88 90.03 90.00
Fractional positions:
Tb 0.000 0.710 0.000
Tb 0.500 0.000 0.000
Tb 0.000 0.290 0.000
Er 0.999 0.342 0.685
Er 0.500 0.607 0.788
Er 0.500 0.819 0.212
Er 0.500 0.181 0.788
Er 0.000 0.876 0.752
Er 0.500 0.393 0.212
Er 0.000 0.124 0.248
Er 0.001 0.658 0.315
La 0.501 0.760 0.520
La 0.499 0.240 0.480

SG: C2/m
crystal system: monoclinic
calculated formation energy: 248.9 meV per atom

***

(18)
Here is a relaxed structure of CuTe2BrN from the Alexandria database. Energies are from PBE.

abc: 5.784 5.784 3.656
angles: 90.00 90.00 90.00
Fractional positions:
Te 0.000 0.500 0.000
Te 0.500 0.000 0.000
Br 0.000 0.000 0.000
Cu 0.500 0.500 0.500
N 0.000 0.000 0.500

SG: P4/mmm
crystal system: tetragonal
uncorrected formation energy: 1.5389 eV per atom
relative energy among the computed polymorphs: 347 kJ/mol of formula units

***

(19)
Here is a relaxed structure of Tb3PuO8 from the Alexandria database. Energies are from PBE.

abc: 6.066 6.066 6.783
angles: 90.00 90.00 121.20
Site moments in Bohr magnetons follow the coordinates.
Fractional positions:
O 0.304 0.249 0.726  -0.05
O 0.313 0.687 0.500  -0.06
O 0.687 0.313 0.500  -0.06
O 0.249 0.304 0.274  -0.05
O 0.696 0.751 0.726  -0.05
O 0.289 0.711 0.000  -0.01
O 0.711 0.289 0.000  -0.01
O 0.751 0.696 0.274  -0.05
Tb 0.500 0.500 0.000  0.00
Tb 0.500 0.000 0.771  0.00
Tb 0.000 0.500 0.229  0.00
Pu 0.500 0.500 0.500  1.35

SG: C222
crystal system: orthorhombic
uncorrected formation energy: -2.9583 eV per atom

***

(20)
Here is a relaxed structure of TbSm2Sb from the Alexandria database. Energies are from PBE.

abc: 4.069 4.069 9.881
angles: 78.12 78.12 60.00
Site moments in Bohr magnetons follow the coordinates.
Fractional positions:
Sm 0.265 0.265 0.205  0.03
Sm 0.068 0.068 0.795  0.13
Tb 0.500 0.500 0.500  0.31
Sb 0.666 0.666 0.001  0.00

SG: R3m
crystal system: trigonal
uncorrected formation energy: -0.3429 eV per atom
relative energy among the computed polymorphs: 79 kJ/mol of formula units